Entry 1:
! PBE-GGA ScFePt, optimized geometry; values from VASP
! **Formation energy**: -0.44 eV/atom
! **Electronic total energy**: -0.543 Ry/atom
&SYSTEM
  ibrav = 0, nat = 3, ntyp = 3
/
ATOMIC_SPECIES
Fe 55.84 Fe.upf
Sc 44.96 Sc.upf
Pt 195.08 Pt.upf
CELL_PARAMETERS angstrom
4.422 0.000 0.000
-2.211 3.830 0.000
0.000 0.000 2.892
ATOMIC_POSITIONS crystal
Fe 0.000 0.000 0.101
Sc 0.333 0.667 0.670
Pt 0.667 0.333 0.229

***

Entry 2:
! PBE-GGA Sr12Pb3Cl5, optimized geometry; values from VASP
! **Formation energy without anion corrections**: -0.9829 eV per atom
! **Electronic total energy**: -0.221 Ry/atom
&SYSTEM
  ibrav = 0, nat = 80, ntyp = 3
/
ATOMIC_SPECIES
Pb 207.20 Pb.upf
Sr 87.62 Sr.upf
Cl 35.45 Cl.upf
CELL_PARAMETERS angstrom
16.183 0.000 0.000
-5.394 15.257 0.000
-5.394 -7.629 13.213
ATOMIC_POSITIONS crystal
Pb 0.125 0.250 0.875
Pb 0.375 0.750 0.625
Pb 0.375 0.625 0.250
Pb 0.750 0.375 0.125
Pb 0.750 0.875 0.625
Pb 0.625 0.250 0.375
Pb 0.125 0.875 0.750
Pb 0.250 0.625 0.875
Pb 0.875 0.125 0.250
Pb 0.875 0.750 0.125
Pb 0.250 0.125 0.375
Pb 0.625 0.375 0.750
Sr 0.681 0.460 0.588
Sr 0.960 0.373 0.280
Sr 0.912 0.819 0.540
Sr 0.407 0.280 0.319
Sr 0.907 0.819 0.780
Sr 0.412 0.373 0.593
Sr 0.181 0.088 0.960
Sr 0.540 0.220 0.127
Sr 0.040 0.627 0.720
Sr 0.127 0.720 0.540
Sr 0.181 0.093 0.720
Sr 0.088 0.907 0.127
Sr 0.412 0.040 0.319
Sr 0.319 0.540 0.412
Sr 0.912 0.093 0.873
Sr 0.780 0.460 0.373
Sr 0.088 0.181 0.460
Sr 0.627 0.588 0.907
Sr 0.280 0.407 0.819
Sr 0.540 0.319 0.912
Sr 0.319 0.780 0.407
Sr 0.593 0.873 0.412
Sr 0.093 0.912 0.373
Sr 0.819 0.912 0.040
Sr 0.588 0.627 0.407
Sr 0.127 0.407 0.088
Sr 0.780 0.319 0.907
Sr 0.280 0.873 0.960
Sr 0.720 0.127 0.040
Sr 0.373 0.412 0.093
Sr 0.960 0.588 0.181
Sr 0.093 0.181 0.220
Sr 0.460 0.780 0.873
Sr 0.907 0.088 0.627
Sr 0.407 0.127 0.588
Sr 0.460 0.681 0.088
Sr 0.627 0.040 0.220
Sr 0.593 0.720 0.681
Sr 0.873 0.280 0.460
Sr 0.720 0.593 0.181
Sr 0.588 0.960 0.681
Sr 0.220 0.540 0.627
Sr 0.373 0.960 0.780
Sr 0.220 0.681 0.093
Sr 0.819 0.907 0.280
Sr 0.681 0.220 0.593
Sr 0.040 0.412 0.819
Sr 0.873 0.593 0.912
Cl 0.875 0.250 0.625
Cl 0.500 0.500 0.000
Cl 0.500 0.500 0.500
Cl 0.875 0.625 0.750
Cl 0.750 0.625 0.375
Cl 0.500 0.000 0.000
Cl 0.625 0.750 0.875
Cl 0.375 0.250 0.125
Cl 0.375 0.125 0.750
Cl 0.750 0.125 0.875
Cl 0.250 0.875 0.125
Cl 0.000 0.500 0.500
Cl 0.500 0.000 0.500
Cl 0.000 0.000 0.000
Cl 0.125 0.750 0.375
Cl 0.250 0.375 0.625
Cl 0.000 0.000 0.500
Cl 0.125 0.375 0.250
Cl 0.625 0.875 0.250
Cl 0.000 0.500 0.000

***

Entry 3:
! PBE-GGA Ac5PrNd2Dy, optimized geometry; values from VASP
! **Formation energy**: 0.28 eV/atom
! **Electronic total energy**: -0.302 Ry/atom
&SYSTEM
  ibrav = 0, nat = 18, ntyp = 4
/
ATOMIC_SPECIES
Ac 227.00 Ac.upf
Nd 144.24 Nd.upf
Dy 162.50 Dy.upf
Pr 140.91 Pr.upf
CELL_PARAMETERS angstrom
-6.931 4.812 0.257
-0.724 -0.594 -8.390
-2.093 -10.695 5.185
ATOMIC_POSITIONS crystal
Ac 0.857 0.914 0.271
Ac 0.143 0.086 0.729
Ac 0.414 0.357 0.271
Ac 0.357 0.857 0.271
Ac 0.586 0.643 0.729
Ac 0.000 0.000 0.000
Ac 0.086 0.586 0.729
Ac 0.500 0.500 0.000
Ac 0.914 0.414 0.271
Ac 0.643 0.143 0.729
Nd 0.622 0.122 0.000
Nd 0.878 0.622 0.000
Nd 0.122 0.378 0.000
Nd 0.378 0.878 0.000
Dy 0.750 0.250 0.500
Dy 0.250 0.750 0.500
Pr 0.750 0.750 0.500
Pr 0.250 0.250 0.500

***

Entry 4:
! PBE-GGA ScAl2Cl, optimized geometry; values from VASP
! **Formation energy without anion corrections**: 0.2220 eV per atom
! **Electronic total energy**: -0.271 Ry/atom
! **Distance to the lowest polymorph of the same formula**: 751 meV/atom
&SYSTEM
  ibrav = 0, nat = 4, ntyp = 3
/
ATOMIC_SPECIES
Al 26.98 Al.upf
Sc 44.96 Sc.upf
Cl 35.45 Cl.upf
CELL_PARAMETERS angstrom
0.000 3.513 3.513
3.513 0.000 3.513
3.513 3.513 0.000
ATOMIC_POSITIONS crystal
Al 0.750 0.750 0.750
Al 0.250 0.250 0.250
Sc 0.500 0.500 0.500
Cl 0.000 0.000 0.000

***

Entry 5:
! PBE-GGA RbZnP2O9, optimized geometry; values from VASP
! **Formation energy without anion corrections**: -1.3519 eV per atom
! **Electronic total energy**: -0.426 Ry/atom
&SYSTEM
  ibrav = 0, nat = 26, ntyp = 4
/
ATOMIC_SPECIES
O 16.00 O.upf
Zn 65.41 Zn.upf
P 30.97 P.upf
Rb 85.47 Rb.upf
CELL_PARAMETERS angstrom
7.070 0.071 0.135
-1.510 -7.771 -0.006
-3.208 0.169 -7.157
ATOMIC_POSITIONS crystal
O 0.063 0.937 0.314
O 0.784 0.574 0.376
O 0.546 0.692 0.068
O 0.557 0.768 0.390
O 0.342 0.046 0.176
O 0.658 0.954 0.824
O 0.056 0.776 0.037
O 0.454 0.308 0.932
O 0.944 0.224 0.963
O 0.648 0.217 0.614
O 0.626 0.534 0.767
O 0.846 0.479 0.657
O 0.216 0.426 0.624
O 0.443 0.232 0.610
O 0.374 0.466 0.233
O 0.937 0.063 0.686
O 0.352 0.783 0.386
O 0.154 0.521 0.343
Zn 0.253 0.263 0.051
Zn 0.747 0.737 0.949
P 0.188 0.899 0.211
P 0.562 0.614 0.256
P 0.812 0.101 0.789
P 0.438 0.386 0.744
Rb 0.185 0.818 0.700
Rb 0.815 0.182 0.300

***

Entry 6:
! PBE-GGA Mg2InN2, optimized geometry; values from VASP
! **Formation energy without anion corrections**: -0.1125 eV per atom
! **Electronic total energy**: -0.340 Ry/atom
! **Distance to the lowest polymorph of the same formula**: 156 meV/atom
&SYSTEM
  ibrav = 0, nat = 5, ntyp = 3
/
ATOMIC_SPECIES
Mg 24.30 Mg.upf
In 114.82 In.upf
N 14.01 N.upf
CELL_PARAMETERS angstrom
1.793 -3.105 0.000
1.793 3.105 0.000
0.000 0.000 6.349
ATOMIC_POSITIONS crystal
Mg 0.333 0.667 0.852
Mg 0.667 0.333 0.148
In 0.000 0.000 0.500
N 0.667 0.333 0.790
N 0.333 0.667 0.210

***

Entry 7:
! PBE-GGA TbNiSbRh, optimized geometry; values from VASP
! **Formation energy without anion corrections**: -0.5752 eV per atom
! **Electronic total energy**: -0.444 Ry/atom
&SYSTEM
  ibrav = 0, nat = 4, ntyp = 4
/
ATOMIC_SPECIES
Sb 121.76 Sb.upf
Ni 58.69 Ni.upf
Rh 102.91 Rh.upf
Tb 158.93 Tb.upf
CELL_PARAMETERS angstrom
-0.194 -2.287 4.069
-0.347 -4.658 0.047
3.623 -2.598 1.394
ATOMIC_POSITIONS crystal
Sb 0.500 0.500 0.500
Ni 0.750 0.750 0.750
Rh 0.250 0.250 0.250
Tb 0.000 0.000 0.000

***

Entry 8:
! PBE-GGA Cr2AgHg, optimized geometry; values from VASP
! **Formation energy**: 0.38 eV/atom
! **Electronic total energy**: -0.384 Ry/atom
&SYSTEM
  ibrav = 0, nat = 4, ntyp = 3
/
ATOMIC_SPECIES
Hg 200.59 Hg.upf
Cr 52.00 Cr.upf
Ag 107.87 Ag.upf
CELL_PARAMETERS angstrom
5.027 -0.619 -0.068
3.915 3.214 -0.068
1.806 0.524 3.666
ATOMIC_POSITIONS crystal
Hg 0.501 0.501 0.499
Cr 0.996 0.996 0.004
Cr 0.254 0.254 0.246
Ag 0.749 0.749 0.751

***

Entry 9:
! PBE-GGA Ac2TbIn12Ni3, optimized geometry; values from VASP
! **Formation energy**: -0.03 eV/atom
! **Electronic total energy**: -0.260 Ry/atom
&SYSTEM
  ibrav = 0, nat = 18, ntyp = 4
/
ATOMIC_SPECIES
In 114.82 In.upf
Ni 58.69 Ni.upf
Tb 158.93 Tb.upf
Ac 227.00 Ac.upf
CELL_PARAMETERS angstrom
-1.134 7.463 -4.259
-7.777 3.670 1.075
-0.034 7.083 4.994
ATOMIC_POSITIONS crystal
In 0.551 0.157 0.157
In 0.449 0.843 0.843
In 0.843 0.843 0.449
In 0.724 0.724 0.111
In 0.111 0.724 0.724
In 0.157 0.551 0.157
In 0.724 0.111 0.724
In 0.843 0.449 0.843
In 0.276 0.889 0.276
In 0.157 0.157 0.551
In 0.276 0.276 0.889
In 0.889 0.276 0.276
Ni 0.000 0.500 0.000
Ni 0.500 0.000 0.000
Ni 0.000 0.000 0.500
Tb 0.000 0.000 0.000
Ac 0.585 0.585 0.585
Ac 0.415 0.415 0.415

***

Entry 10:
! PBE-GGA RbLiTe2Se4, optimized geometry; values from VASP
! **Formation energy without anion corrections**: -0.4425 eV per atom
! **Electronic total energy**: -0.245 Ry/atom
&SYSTEM
  ibrav = 0, nat = 8, ntyp = 4
/
ATOMIC_SPECIES
Se 78.96 Se.upf
Li 6.94 Li.upf
Te 127.60 Te.upf
Rb 85.47 Rb.upf
CELL_PARAMETERS angstrom
7.212 0.000 0.000
3.606 5.998 -1.298
3.606 -0.626 6.105
ATOMIC_POSITIONS crystal
Se 0.000 0.443 0.138
Se 0.000 0.862 0.557
Se 0.582 0.557 0.862
Se 0.418 0.138 0.443
Li 0.000 0.500 0.500
Te 0.500 0.750 0.250
Te 0.500 0.250 0.750
Rb 0.000 0.000 0.000

***

Entry 11:
! PBE-GGA Sm3BeB2N6, optimized geometry; values from VASP
! **Formation energy without anion corrections**: -0.9213 eV per atom
! **Electronic total energy**: -0.565 Ry/atom
&SYSTEM
  ibrav = 0, nat = 12, ntyp = 4
/
ATOMIC_SPECIES
N 14.01 N.upf
Be 9.01 Be.upf
B 10.81 B.upf
Sm 150.36 Sm.upf
CELL_PARAMETERS angstrom
-4.024 -2.242 -2.647
4.971 -0.491 -1.810
0.674 -4.995 3.205
ATOMIC_POSITIONS crystal
N 0.646 0.823 0.292
N 0.823 0.177 0.708
N 0.177 0.823 0.292
N 0.823 0.646 0.708
N 0.177 0.354 0.292
N 0.354 0.177 0.708
Be 0.000 0.000 0.500
B 0.667 0.333 0.744
B 0.333 0.667 0.256
Sm 0.667 0.333 0.340
Sm 0.333 0.667 0.660
Sm 0.000 0.000 0.000

***

Entry 12:
! PBE-GGA Sc2MoW, optimized geometry; values from VASP
! **Formation energy**: 0.28 eV/atom
! **Electronic total energy**: -0.649 Ry/atom
! **Distance to the lowest polymorph of the same formula**: 247 meV/atom
&SYSTEM
  ibrav = 0, nat = 4, ntyp = 3
/
ATOMIC_SPECIES
Mo 95.94 Mo.upf
W 183.84 W.upf
Sc 44.96 Sc.upf
CELL_PARAMETERS angstrom
-4.642 -0.309 2.895
3.247 -4.404 -0.285
1.366 0.860 2.282
ATOMIC_POSITIONS crystal
Mo 0.000 0.500 0.500
W 0.500 0.000 0.500
Sc 0.500 0.500 0.000
Sc 0.000 0.000 0.000

***

Entry 13:
! PBE-GGA CuHSCl2, optimized geometry; values from VASP
! **Electronic total energy**: -0.185 Ry/atom
! **Distance to the lowest polymorph of the same formula**: 0 meV/atom
&SYSTEM
  ibrav = 0, nat = 5, ntyp = 4
/
ATOMIC_SPECIES
Cl 35.45 Cl.upf
H 1.01 H.upf
S 32.06 S.upf
Cu 63.55 Cu.upf
CELL_PARAMETERS angstrom
-2.455 -3.505 -2.586
2.242 -3.562 2.699
-2.382 0.105 2.117
ATOMIC_POSITIONS crystal
Cl 0.500 0.000 0.000
Cl 0.000 0.500 0.000
H 0.000 0.000 0.000
S 0.000 0.000 0.500
Cu 0.500 0.500 0.500

***

Entry 14:
! PBE-GGA PaI2O2, optimized geometry; values from VASP
! **Formation energy without anion corrections**: -1.8488 eV per atom
! **Electronic total energy**: -0.467 Ry/atom
&SYSTEM
  ibrav = 0, nat = 10, ntyp = 3
/
ATOMIC_SPECIES
I 126.90 I.upf
Pa 231.04 Pa.upf
O 16.00 O.upf
CELL_PARAMETERS angstrom
-1.393 8.184 -0.201
-3.461 -8.208 -1.990
1.593 6.128 9.373
ATOMIC_POSITIONS crystal
I 0.545 0.000 0.289
I 0.312 0.568 0.745
I 0.455 0.000 0.711
I 0.688 0.432 0.255
Pa 0.932 0.147 0.016
Pa 0.068 0.853 0.984
O 0.074 0.227 0.859
O 0.926 0.773 0.141
O 0.209 0.282 0.131
O 0.791 0.718 0.869

***

Entry 15:
! PBE-GGA KHf6CCl15, optimized geometry; values from VASP
! **Formation energy without anion corrections**: -1.7849 eV per atom
! **Electronic total energy**: -0.444 Ry/atom
&SYSTEM
  ibrav = 0, nat = 92, ntyp = 4
/
ATOMIC_SPECIES
Cl 35.45 Cl.upf
Hf 178.49 Hf.upf
K 39.10 K.upf
C 12.01 C.upf
CELL_PARAMETERS angstrom
-2.777 -3.911 -8.590
7.544 -11.436 2.767
-14.832 -7.768 8.332
ATOMIC_POSITIONS crystal
Cl 0.336 0.000 0.567
Cl 0.587 0.626 0.655
Cl 0.413 0.374 0.155
Cl 0.074 0.625 0.844
Cl 0.926 0.375 0.344
Cl 0.329 0.750 0.935
Cl 0.671 0.250 0.435
Cl 0.261 0.127 0.407
Cl 0.924 0.125 0.341
Cl 0.331 0.500 0.939
Cl 0.664 0.000 0.067
Cl 0.000 0.253 0.500
Cl 0.739 0.127 0.907
Cl 0.000 0.747 0.000
Cl 0.926 0.375 0.156
Cl 0.329 0.250 0.565
Cl 0.000 0.253 0.000
Cl 0.924 0.125 0.159
Cl 0.671 0.750 0.065
Cl 0.413 0.626 0.155
Cl 0.170 0.500 0.250
Cl 0.181 0.000 0.250
Cl 0.587 0.626 0.845
Cl 0.663 0.753 0.250
Cl 0.926 0.625 0.344
Cl 0.413 0.626 0.345
Cl 0.329 0.750 0.565
Cl 0.664 0.000 0.433
Cl 0.669 0.500 0.439
Cl 0.261 0.873 0.407
Cl 0.739 0.127 0.593
Cl 0.074 0.625 0.656
Cl 0.074 0.375 0.656
Cl 0.671 0.250 0.065
Cl 0.587 0.374 0.845
Cl 0.924 0.875 0.159
Cl 0.671 0.750 0.435
Cl 0.076 0.875 0.841
Cl 0.000 0.747 0.500
Cl 0.819 0.000 0.750
Cl 0.331 0.500 0.561
Cl 0.663 0.247 0.250
Cl 0.074 0.375 0.844
Cl 0.076 0.875 0.659
Cl 0.669 0.500 0.061
Cl 0.924 0.875 0.341
Cl 0.261 0.873 0.093
Cl 0.076 0.125 0.841
Cl 0.413 0.374 0.345
Cl 0.739 0.873 0.593
Cl 0.329 0.250 0.935
Cl 0.336 0.000 0.933
Cl 0.739 0.873 0.907
Cl 0.830 0.500 0.750
Cl 0.587 0.374 0.655
Cl 0.337 0.247 0.750
Cl 0.337 0.753 0.750
Cl 0.076 0.125 0.659
Cl 0.261 0.127 0.093
Cl 0.926 0.625 0.156
Hf 0.848 0.886 0.030
Hf 0.330 0.615 0.836
Hf 0.082 0.000 0.111
Hf 0.895 0.500 0.250
Hf 0.330 0.615 0.664
Hf 0.152 0.886 0.970
Hf 0.330 0.385 0.664
Hf 0.848 0.114 0.030
Hf 0.105 0.500 0.750
Hf 0.848 0.114 0.470
Hf 0.670 0.615 0.336
Hf 0.670 0.385 0.336
Hf 0.558 0.500 0.750
Hf 0.152 0.114 0.970
Hf 0.848 0.886 0.470
Hf 0.442 0.500 0.250
Hf 0.152 0.114 0.530
Hf 0.918 0.000 0.611
Hf 0.670 0.385 0.164
Hf 0.082 0.000 0.389
Hf 0.330 0.385 0.836
Hf 0.670 0.615 0.164
Hf 0.152 0.886 0.530
Hf 0.918 0.000 0.889
K 0.823 0.248 0.750
K 0.823 0.752 0.750
K 0.177 0.248 0.250
K 0.177 0.752 0.250
C 0.000 0.000 0.000
C 0.000 0.000 0.500
C 0.332 0.500 0.750
C 0.668 0.500 0.250

***

Entry 16:
! PBE-GGA Ba7Cd6, optimized geometry; values from VASP
! **Formation energy**: 0.11 eV/atom
! **Electronic total energy**: -0.099 Ry/atom
&SYSTEM
  ibrav = 0, nat = 13, ntyp = 2
/
ATOMIC_SPECIES
Ba 137.33 Ba.upf
Cd 112.41 Cd.upf
CELL_PARAMETERS angstrom
11.085 -0.024 -0.015
8.184 7.477 -0.015
8.184 3.165 6.774
ATOMIC_POSITIONS crystal
Ba 0.404 0.937 0.404
Ba 0.596 0.063 0.596
Ba 0.500 0.500 0.500
Ba 0.937 0.404 0.404
Ba 0.404 0.404 0.937
Ba 0.596 0.596 0.063
Ba 0.063 0.596 0.596
Cd 0.339 0.339 0.339
Cd 0.661 0.661 0.661
Cd 0.951 0.951 0.951
Cd 0.146 0.146 0.146
Cd 0.854 0.854 0.854
Cd 0.049 0.049 0.049

***

| no. | magnetization (μB/f.u.) |
| --- | --- |
| 1 | 2.75 |
| 2 | 3.27 |
| 3 | 0.00 |
| 4 | 0.00 |
| 5 | 3.07 |
| 6 | 0.00 |
| 7 | 0.00 |
| 8 | 0.04 |
| 9 | 0.00 |
| 10 | 0.00 |
| 11 | 0.00 |
| 12 | 0.00 |
| 13 | 0.00 |
| 14 | 1.04 |
| 15 | 0.00 |
| 16 | 0.00 |